{"formula": "AcLaGaPb", "functional": "GGA-PBE", "state": "optimized geometry", "ef_ev_per_atom": -0.464, "de_polymorph_kj_per_mol_fu": 37, "rho_g_cm3": 8.4, "final_energy_ev_per_atom": -4.407, "magmom_total_mub_per_fu": 0.006, "lattice": [[5.636, 0.000, 0.000], [2.818, 4.881, 0.000], [2.818, 1.627, 4.602]], "species": ["Pb", "Ac", "Ga", "La"], "fractional_positions": [[0.250, 0.250, 0.250], [0.000, 0.000, 0.000], [0.750, 0.750, 0.750], [0.500, 0.500, 0.500]]}

=====

{"formula": "AcLaGaPb", "functional": "GGA-PBE", "state": "optimized geometry", "ef_ev_per_atom": -0.561, "de_polymorph_kj_per_mol_fu": 0, "rho_g_cm3": 8.1, "final_energy_ev_per_atom": -4.503, "magmom_total_mub_per_fu": 0.449, "lattice": [[4.834, 0.000, 0.000], [0.000, 4.449, 0.000], [-2.417, 0.000, 6.095]], "species": ["Ac", "La", "Ga", "Pb"], "fractional_positions": [[0.861, 0.500, 0.723], [0.142, 0.000, 0.284], [0.419, 0.000, 0.839], [0.577, 0.500, 0.155]]}

=====

{"formula": "Ac2LaGa2Pd7", "functional": "GGA-PBE", "state": "optimized geometry", "ef_ev_per_atom": -0.798, "rho_g_cm3": 9.5, "final_energy_ev_per_atom": -5.427, "magmom_total_mub_per_fu": 0.000, "lattice": [[4.262, 0.020, -0.113], [0.025, 4.262, -0.113], [1.742, 1.740, 14.078]], "species": ["Ac", "Ac", "La", "Ga", "Ga", "Pd", "Pd", "Pd", "Pd", "Pd", "Pd", "Pd"], "fractional_positions": [[0.897, 0.897, 0.357], [0.103, 0.103, 0.643], [0.000, 0.000, 0.000], [0.577, 0.577, 0.754], [0.423, 0.423, 0.246], [0.500, 0.500, 0.000], [0.383, 0.383, 0.425], [0.617, 0.617, 0.575], [0.953, 0.452, 0.152], [0.452, 0.953, 0.152], [0.548, 0.047, 0.848], [0.047, 0.548, 0.848]]}

=====

{"formula": "AcLaPmGa", "functional": "GGA-PBE", "state": "optimized geometry", "ef_ev_per_atom": -0.015, "rho_g_cm3": 7.6, "final_energy_ev_per_atom": -4.219, "magmom_total_mub_per_fu": 0.000, "lattice": [[-3.706, -0.821, 4.161], [-1.258, -5.234, 1.658], [1.763, -1.866, 5.014]], "species": ["Ac", "La", "Ga", "Pm"], "fractional_positions": [[0.750, 0.750, 0.750], [0.500, 0.500, 0.500], [0.250, 0.250, 0.250], [0.000, 0.000, 0.000]]}

=====

{"formula": "Ac2LaGa2Pt7", "functional": "GGA-PBE", "state": "optimized geometry", "ef_ev_per_atom": -0.969, "rho_g_cm3": 13.5, "final_energy_ev_per_atom": -6.092, "magmom_total_mub_per_fu": 0.000, "lattice": [[4.246, 0.017, -0.122], [0.022, 4.246, -0.122], [1.727, 1.725, 14.177]], "species": ["Ac", "Ac", "La", "Ga", "Ga", "Pt", "Pt", "Pt", "Pt", "Pt", "Pt", "Pt"], "fractional_positions": [[0.903, 0.903, 0.357], [0.097, 0.097, 0.643], [0.000, 0.000, 0.000], [0.576, 0.576, 0.752], [0.424, 0.424, 0.248], [0.500, 0.500, 0.000], [0.398, 0.398, 0.423], [0.602, 0.602, 0.577], [0.953, 0.453, 0.153], [0.453, 0.953, 0.153], [0.547, 0.047, 0.847], [0.047, 0.547, 0.847]]}

=====

{"formula": "AcLaGaRu", "functional": "GGA-PBE", "state": "optimized geometry", "ef_ev_per_atom": -0.360, "de_polymorph_kj_per_mol_fu": 0, "rho_g_cm3": 8.2, "final_energy_ev_per_atom": -5.695, "magmom_total_mub_per_fu": 0.000, "lattice": [[-1.844, -2.810, 3.105], [3.714, -1.261, 1.065], [1.211, 5.622, 2.435]], "species": ["Ac", "La", "Ga", "Ru"], "fractional_positions": [[0.153, 0.000, 0.305], [0.871, 0.500, 0.742], [0.558, 0.500, 0.116], [0.418, 0.000, 0.836]]}

=====

{"formula": "AcLaGaRu", "functional": "GGA-PBE", "state": "optimized geometry", "ef_ev_per_atom": -0.217, "de_polymorph_kj_per_mol_fu": 55, "rho_g_cm3": 8.6, "final_energy_ev_per_atom": -5.552, "magmom_total_mub_per_fu": 0.000, "lattice": [[5.282, 0.000, 0.000], [2.641, 4.574, 0.000], [2.641, 1.525, 4.313]], "species": ["Ru", "Ac", "Ga", "La"], "fractional_positions": [[0.750, 0.750, 0.750], [0.500, 0.500, 0.500], [0.250, 0.250, 0.250], [0.000, 0.000, 0.000]]}

=====

{"formula": "AcLaGaSi", "functional": "GGA-PBE", "state": "optimized geometry", "de_polymorph_kj_per_mol_fu": 74, "rho_g_cm3": 7.0, "formation_energy_uncorrected_kj_per_mol_atoms": -41.95, "final_energy_ev_per_atom": -4.806, "magmom_total_mub_per_fu": 0.000, "lattice": [[5.390, 0.000, 0.000], [2.695, 4.668, 0.000], [2.695, 1.556, 4.401]], "species": ["Ac", "Si", "Ga", "La"], "fractional_positions": [[0.500, 0.500, 0.500], [0.250, 0.250, 0.250], [0.750, 0.750, 0.750], [0.000, 0.000, 0.000]]}